[1]
Computed, not measured: crystalline CdTcRu2 at its relaxed geometry at the PBE-GGA level of DFT.

POSCAR file:
```
CdTcRu2
1.0
2.827 0.000 0.000
0.000 2.827 0.000
0.000 0.000 7.783
Cd Ru Tc
1 2 1
Cartesian
1.414 1.414 5.837
0.000 0.000 0.196
0.000 0.000 3.696
1.414 1.414 1.946
```

Calculated values
Energy of formation = 188 meV/atom
Mass density = 11.01 g cm⁻³

=====

[2]
Computed, not measured: crystalline LiTa2Ru at its relaxed geometry at the PBE-GGA level of DFT.

POSCAR file:
```
LiTa2Ru
1.0
-3.546 1.520 -3.311
-4.495 -2.255 0.746
3.428 2.867 2.423
Li Ru Ta
1 1 2
Cartesian
-2.069 2.010 -1.085
-2.543 0.123 0.943
-0.147 -0.013 -0.047
-3.873 -0.354 -1.236
```

Calculated values
Energy of formation = 120 meV/atom
Mass density = 12.11 g cm⁻³